[1]
First-principles (PBE-GGA) data for crystalline BeZnSi2 at its relaxed geometry, as listed in the Alexandria database.

Unit cell a=4.553 b=4.553 c=4.553 alpha=130.20 beta=130.20 gamma=73.09
Fractional positions:
Si: 0.500 0.500 0.000
Be: 0.750 0.250 0.500
Zn: 0.250 0.750 0.500
Si: 0.000 0.000 0.000

Calculated values
- DOS(E_F) (states/eV/cell) = 1.2
- polymorph energy (0 for the lowest one) (meV/atom) = 158
- uncorrected formation energy (eV/atom) = 0.4402


[2]
First-principles (PBE-GGA) data for crystalline Be2Zn2Si at its relaxed geometry, as listed in the Alexandria database.

Unit cell a=7.261 b=7.261 c=2.417 alpha=90.00 beta=90.00 gamma=90.00
Fractional positions:
Be: 0.387 0.887 0.000
Be: 0.887 0.613 0.000
Si: 0.500 0.500 0.000
Si: 0.000 0.000 0.000
Be: 0.113 0.387 0.000
Zn: 0.182 0.682 0.500
Be: 0.613 0.113 0.000
Zn: 0.682 0.818 0.500
Zn: 0.818 0.318 0.500
Zn: 0.318 0.182 0.500

Calculated values
- DOS(E_F) (states/eV/cell) = 3.7
- polymorph energy (0 for the lowest one) (meV/atom) = 0
- uncorrected formation energy (eV/atom) = 0.3435


[3]
First-principles (PBE-GGA) data for crystalline BeZnSi2 at its relaxed geometry, as listed in the Alexandria database.

Unit cell a=5.499 b=5.499 c=5.499 alpha=153.93 beta=130.40 gamma=56.87
Fractional positions:
Be: 0.237 0.737 0.500
Zn: 0.465 0.465 0.000
Si: 0.771 0.271 0.500
Si: 0.027 0.027 0.000

Calculated values
- DOS(E_F) (states/eV/cell) = 1.3
- polymorph energy (0 for the lowest one) (meV/atom) = 126
- uncorrected formation energy (eV/atom) = 0.4087


[4]
First-principles (PBE-GGA) data for crystalline BeZnSi at its relaxed geometry, as listed in the Alexandria database.

Unit cell a=4.725 b=4.725 c=4.725 alpha=148.54 beta=134.88 gamma=56.04
Fractional positions:
Be: 0.990 0.990 0.000
Zn: 0.659 0.659 0.000
Si: 0.351 0.351 0.000

Calculated values
- DOS(E_F) (states/eV/cell) = 0.9
- uncorrected formation energy (eV/atom) = 0.3473


[5]
First-principles (PBE-GGA) data for crystalline BeZnSi2 at its relaxed geometry, as listed in the Alexandria database.

Unit cell a=2.691 b=2.691 c=9.488 alpha=90.00 beta=90.00 gamma=125.59
Fractional positions:
Si: 0.000 0.000 0.533
Zn: 0.500 0.500 0.250
Si: 0.000 0.000 0.967
Be: 0.500 0.500 0.750

Calculated values
- DOS(E_F) (states/eV/cell) = 1.4
- polymorph energy (0 for the lowest one) (meV/atom) = 121
- uncorrected formation energy (eV/atom) = 0.4040


[6]
First-principles (PBE-GGA) data for crystalline ZrBe2Si at its relaxed geometry, as listed in the Alexandria database.

Unit cell a=5.092 b=5.092 c=5.092 alpha=139.46 beta=139.10 gamma=58.95
Fractional positions:
Zr: 0.220 0.720 0.500
Be: 0.833 0.333 0.500
Be: 0.967 0.967 0.000
Si: 0.481 0.481 0.000

Calculated values
- DOS(E_F) (states/eV/cell) = 3.1
- uncorrected formation energy (eV/atom) = -0.1815


[7]
First-principles (PBE-GGA) data for crystalline ZrBeSi2 at its relaxed geometry, as listed in the Alexandria database.

Unit cell a=3.242 b=3.242 c=5.638 alpha=90.00 beta=90.00 gamma=90.00
Fractional positions:
Be: 0.500 0.500 0.811
Si: 0.500 0.500 0.206
Zr: 0.000 0.000 0.497
Si: 0.000 0.000 0.986

Calculated values
- DOS(E_F) (states/eV/cell) = 1.8
- uncorrected formation energy (eV/atom) = -0.1395


[8]
First-principles (PBE-GGA) data for crystalline ZrBe2Si2 at its relaxed geometry, as listed in the Alexandria database.

Unit cell a=3.673 b=3.673 c=5.680 alpha=71.13 beta=71.13 gamma=90.00
Fractional positions:
Si: 0.617 0.617 0.767
Zr: 0.000 0.000 0.000
Si: 0.383 0.383 0.233
Be: 0.750 0.250 0.500
Be: 0.250 0.750 0.500

Calculated values
- DOS(E_F) (states/eV/cell) = 1.7
- uncorrected formation energy (eV/atom) = -0.1994


[9]
First-principles (PBE-GGA) data for crystalline Zr2Be2Si at its relaxed geometry, as listed in the Alexandria database.

Unit cell a=6.197 b=6.197 c=3.904 alpha=90.00 beta=90.00 gamma=90.00
Fractional positions:
Zr: 0.674 0.826 0.500
Be: 0.622 0.122 0.000
Zr: 0.326 0.174 0.500
Si: 0.000 0.000 0.000
Be: 0.378 0.878 0.000
Be: 0.122 0.378 0.000
Zr: 0.826 0.326 0.500
Zr: 0.174 0.674 0.500
Be: 0.878 0.622 0.000
Si: 0.500 0.500 0.000

Calculated values
- DOS(E_F) (states/eV/cell) = 6.3
- uncorrected formation energy (eV/atom) = -0.4149


[10]
First-principles (PBE-GGA) data for crystalline ZrBeSi2 at its relaxed geometry, as listed in the Alexandria database.

Unit cell a=3.260 b=3.260 c=5.794 alpha=90.00 beta=90.00 gamma=99.64
Fractional positions:
Zr: 0.500 0.500 0.250
Si: 0.000 0.000 0.952
Si: 0.000 0.000 0.548
Be: 0.500 0.500 0.750

Calculated values
- DOS(E_F) (states/eV/cell) = 1.5
- uncorrected formation energy (eV/atom) = -0.1270


[11]
First-principles (PBE-GGA) data for crystalline ZrBeSi2 at its relaxed geometry, as listed in the Alexandria database.

Unit cell a=6.756 b=6.756 c=5.488 alpha=52.02 beta=52.02 gamma=90.00
Fractional positions:
Zr: 0.750 0.250 0.500
Zr: 0.000 0.000 0.000
Si: 0.875 0.815 0.750
Be: 0.500 0.500 0.000
Be: 0.250 0.750 0.500
Si: 0.565 0.125 0.250
Si: 0.185 0.625 0.250
Si: 0.375 0.435 0.750

Calculated values
- DOS(E_F) (states/eV/cell) = 1.1
- uncorrected formation energy (eV/atom) = -0.0939


[12]
First-principles (PBE-GGA) data for crystalline Zr4BeSi at its relaxed geometry, as listed in the Alexandria database.

Unit cell a=5.347 b=5.347 c=5.347 alpha=103.94 beta=103.94 gamma=121.21
Fractional positions:
Be: 0.000 0.000 0.000
Zr: 0.093 0.907 0.500
Si: 0.500 0.500 0.000
Zr: 0.907 0.407 0.814
Zr: 0.593 0.093 0.186
Zr: 0.407 0.593 0.500

Calculated values
- DOS(E_F) (states/eV/cell) = 7.7
- polymorph energy (0 for the lowest one) (meV/atom) = 0
- uncorrected formation energy (eV/atom) = -0.4105


[13]
First-principles (PBE-GGA) data for crystalline ZrBe2Si at its relaxed geometry, as listed in the Alexandria database.

Unit cell a=3.689 b=3.689 c=4.908 alpha=67.94 beta=67.94 gamma=59.93
Fractional positions:
Zr: 0.250 0.250 0.250
Be: 0.044 0.044 0.865
Si: 0.750 0.750 0.750
Be: 0.456 0.456 0.635

Calculated values
- DOS(E_F) (states/eV/cell) = 0.8
- uncorrected formation energy (eV/atom) = -0.3063


[14]
First-principles (PBE-GGA) data for crystalline Zr2BeSi2 at its relaxed geometry, as listed in the Alexandria database.

Unit cell a=6.415 b=6.415 c=3.991 alpha=90.00 beta=90.00 gamma=90.00
Fractional positions:
Si: 0.630 0.130 0.000
Be: 0.500 0.500 0.000
Si: 0.130 0.370 0.000
Be: 0.000 0.000 0.000
Si: 0.870 0.630 0.000
Zr: 0.323 0.177 0.500
Si: 0.370 0.870 0.000
Zr: 0.823 0.323 0.500
Zr: 0.177 0.677 0.500
Zr: 0.677 0.823 0.500

Calculated values
- DOS(E_F) (states/eV/cell) = 5.2
- polymorph energy (0 for the lowest one) (meV/atom) = 223
- uncorrected formation energy (eV/atom) = -0.5469


[15]
First-principles (PBE-GGA) data for crystalline ZrBeSi2 at its relaxed geometry, as listed in the Alexandria database.

Unit cell a=3.895 b=3.099 c=5.059 alpha=90.00 beta=90.00 gamma=90.00
Fractional positions:
Be: 0.500 0.750 0.750
Si: 0.000 0.750 0.997
Si: 0.000 0.750 0.503
Zr: 0.500 0.250 0.250

Calculated values
- DOS(E_F) (states/eV/cell) = 1.5
- uncorrected formation energy (eV/atom) = -0.2595


[16]
First-principles (PBE-GGA) data for crystalline ZrBeSi2 at its relaxed geometry, as listed in the Alexandria database.

Unit cell a=2.783 b=2.783 c=7.895 alpha=90.00 beta=90.00 gamma=90.00
Fractional positions:
Zr: 0.000 0.000 0.515
Si: 0.500 0.500 0.251
Be: 0.500 0.500 0.775
Si: 0.000 0.000 0.959

Calculated values
- DOS(E_F) (states/eV/cell) = 2.9
- uncorrected formation energy (eV/atom) = 0.2004


[17]
First-principles (PBE-GGA) data for crystalline ZrBeSi2 at its relaxed geometry, as listed in the Alexandria database.

Unit cell a=4.949 b=4.949 c=4.950 alpha=136.05 beta=136.04 gamma=63.89
Fractional positions:
Zr: 0.750 0.250 0.500
Si: 0.500 0.500 0.000
Si: 0.000 0.000 0.000
Be: 0.250 0.750 0.500

Calculated values
- DOS(E_F) (states/eV/cell) = 1.3
- uncorrected formation energy (eV/atom) = -0.2968


[18]
First-principles (PBE-GGA) data for crystalline ZrBeSi2 at its relaxed geometry, as listed in the Alexandria database.

Unit cell a=4.257 b=2.898 c=4.843 alpha=90.00 beta=90.00 gamma=90.00
Fractional positions:
Si: 0.000 0.000 0.988
Si: 0.500 0.000 0.261
Zr: 0.000 0.500 0.501
Be: 0.500 0.000 0.751

Calculated values
- DOS(E_F) (states/eV/cell) = 1.2
- uncorrected formation energy (eV/atom) = -0.1984


[19]
First-principles (PBE-GGA) data for crystalline ZrBeSi2 at its relaxed geometry, as listed in the Alexandria database.

Unit cell a=4.805 b=4.805 c=2.869 alpha=89.97 beta=89.97 gamma=112.72
Fractional positions:
Si: 0.000 0.000 0.000
Be: 0.000 0.500 0.500
Zr: 0.500 0.000 0.500
Si: 0.500 0.500 0.000

Calculated values
- DOS(E_F) (states/eV/cell) = 1.2
- uncorrected formation energy (eV/atom) = 0.0052


[20]
First-principles (PBE-GGA) data for crystalline ZrBe2Si2 at its relaxed geometry, as listed in the Alexandria database.

Unit cell a=6.870 b=6.870 c=2.936 alpha=90.00 beta=90.00 gamma=90.00
Fractional positions:
Be: 0.154 0.654 0.500
Si: 0.632 0.132 0.000
Zr: 0.000 0.000 0.000
Be: 0.654 0.846 0.500
Be: 0.346 0.154 0.500
Si: 0.868 0.632 0.000
Si: 0.368 0.868 0.000
Be: 0.846 0.346 0.500
Zr: 0.500 0.500 0.000
Si: 0.132 0.368 0.000

Calculated values
- DOS(E_F) (states/eV/cell) = 4.2
- uncorrected formation energy (eV/atom) = 0.0336


[21]
First-principles (PBE-GGA) data for crystalline Zr2BeSi2 at its relaxed geometry, as listed in the Alexandria database.

Unit cell a=3.748 b=5.262 c=8.898 alpha=83.10 beta=77.84 gamma=69.14
Fractional positions:
Zr: 0.898 0.300 0.904
Zr: 0.301 0.751 0.647
Si: 0.044 0.321 0.592
Be: 0.433 0.824 0.311
Si: 0.373 0.134 0.119
Si: 0.956 0.679 0.408
Zr: 0.102 0.700 0.096
Be: 0.567 0.176 0.689
Zr: 0.699 0.249 0.353
Si: 0.627 0.866 0.881

Calculated values
- DOS(E_F) (states/eV/cell) = 1.7
- polymorph energy (0 for the lowest one) (meV/atom) = 0
- uncorrected formation energy (eV/atom) = -0.7703


[22]
First-principles (PBE-GGA) data for crystalline ZrBe2Si at its relaxed geometry, as listed in the Alexandria database.

Unit cell a=3.902 b=2.985 c=4.821 alpha=90.00 beta=90.00 gamma=90.00
Fractional positions:
Be: 0.000 0.250 0.989
Si: 0.500 0.250 0.250
Be: 0.000 0.250 0.511
Zr: 0.500 0.750 0.750

Calculated values
- DOS(E_F) (states/eV/cell) = 1.6
- uncorrected formation energy (eV/atom) = -0.1244


[23]
First-principles (PBE-GGA) data for crystalline ZrBe2Si at its relaxed geometry, as listed in the Alexandria database.

Unit cell a=3.989 b=3.989 c=8.055 alpha=75.66 beta=75.66 gamma=90.00
Fractional positions:
Si: 0.250 0.750 0.500
Be: 0.375 0.625 0.750
Be: 0.375 0.625 0.250
Zr: 0.750 0.250 0.500
Be: 0.875 0.625 0.750
Zr: 0.000 0.000 0.000
Be: 0.375 0.125 0.250
Si: 0.500 0.500 0.000

Calculated values
- DOS(E_F) (states/eV/cell) = 4.5
- uncorrected formation energy (eV/atom) = 0.0835


[24]
First-principles (PBE-GGA) data for crystalline ZrBeSi2 at its relaxed geometry, as listed in the Alexandria database.

Unit cell a=8.218 b=8.218 c=8.218 alpha=21.18 beta=21.18 gamma=21.18
Fractional positions:
Be: 0.738 0.738 0.738
Si: 0.259 0.259 0.259
Zr: 0.498 0.498 0.498
Si: 0.004 0.004 0.004

Calculated values
- DOS(E_F) (states/eV/cell) = 3.5
- uncorrected formation energy (eV/atom) = 0.2130


[25]
First-principles (PBE-GGA) data for crystalline ZrBe2Si at its relaxed geometry, as listed in the Alexandria database.

Unit cell a=3.648 b=3.648 c=5.057 alpha=68.85 beta=68.85 gamma=59.87
Fractional positions:
Si: 0.460 0.460 0.622
Zr: 0.257 0.257 0.228
Be: 0.733 0.733 0.801
Be: 0.050 0.050 0.849

Calculated values
- DOS(E_F) (states/eV/cell) = 1.0
- uncorrected formation energy (eV/atom) = -0.3863


[26]
First-principles (PBE-GGA) data for crystalline Zr3Be2Si3 at its relaxed geometry, as listed in the Alexandria database.

Unit cell a=3.754 b=5.245 c=13.346 alpha=90.00 beta=90.00 gamma=110.97
Fractional positions:
Be: 0.215 0.431 0.392
Be: 0.785 0.569 0.892
Zr: 0.930 0.859 0.111
Zr: 0.930 0.859 0.389
Zr: 0.637 0.273 0.250
Be: 0.785 0.569 0.608
Si: 0.651 0.303 0.750
Zr: 0.070 0.141 0.889
Be: 0.215 0.431 0.108
Zr: 0.070 0.141 0.611
Si: 0.349 0.697 0.250
Zr: 0.363 0.727 0.750
Si: 0.375 0.751 0.543
Si: 0.375 0.751 0.957
Si: 0.625 0.249 0.457
Si: 0.625 0.249 0.043

Calculated values
- DOS(E_F) (states/eV/cell) = 3.9
- uncorrected formation energy (eV/atom) = -0.7113


[27]
First-principles (PBE-GGA) data for crystalline ZrBeSi4 at its relaxed geometry, as listed in the Alexandria database.

Unit cell a=4.967 b=4.967 c=4.967 alpha=60.00 beta=60.00 gamma=60.00
Fractional positions:
Si: 0.375 0.375 0.375
Zr: 0.750 0.750 0.750
Si: 0.876 0.375 0.375
Si: 0.375 0.876 0.375
Si: 0.375 0.375 0.876
Be: 0.000 0.000 0.000

Calculated values
- DOS(E_F) (states/eV/cell) = 2.7
- uncorrected formation energy (eV/atom) = 0.1120